# Ta3AlIr PBE optimized geometry
data_Ta3AlIr
_symmetry_space_group_name_H-M 'P m -3 m'
_symmetry_Int_Tables_number 221
_symmetry_space_group_name_Hall '-P 4 2 3'
_cell_length_a 4.845
_cell_length_b 4.845
_cell_length_c 4.845
_cell_angle_alpha 90.00
_cell_angle_beta 90.00
_cell_angle_gamma 90.00
loop_
_atom_site_label
_atom_site_type_symbol
_atom_site_fract_x
_atom_site_fract_y
_atom_site_fract_z
Ta1 Ta 0.000 0.000 0.500
Al1 Al 0.500 0.500 0.500
Ir1 Ir 0.000 0.000 0.000
# Distance to the lowest polymorph of the same formula in eV/f.u.: 0.000
# Total magnetic moment in μB per cell: 0.0
# Energy of formation in kJ per mole of atoms: 95.30